A geometry-optimized AcSi3IrRu structure. Source: the Alexandria database, functional GGA-PBE.

Output
- E_form (uncorrected): -572 meV per atom
- Space-group type: Cmcm (63)

abc: 6.1100 6.4284 6.9714
angles: 117.46 90.00 90.00
Last column: nearest neighbours and their distance in Å.
Positions (direct):
Ac 0.7500 0.2354 0.4708  4 Si 3.07-3.27, 1 Ru 3.38
Ac 0.2500 0.7646 0.5292  4 Si 3.07-3.27, 1 Ru 3.38
Si 0.2500 0.2152 0.4304  1 Ru 2.19, 1 Ir 2.24
Si 0.0000 0.2890 0.0000  2 Ir 2.41, 2 Ru 2.45
Si 0.5000 0.7110 0.0000  2 Ir 2.41, 2 Ru 2.45
Si 0.5000 0.2890 0.0000  2 Ir 2.41, 2 Ru 2.45
Si 0.0000 0.7110 0.0000  2 Ir 2.41, 2 Ru 2.45
Si 0.7500 0.7848 0.5696  1 Ru 2.19, 1 Ir 2.24
Ir 0.2500 0.3960 0.7920  5 Si 2.24-2.41
Ir 0.7500 0.6040 0.2080  5 Si 2.24-2.41
Ru 0.2500 0.0380 0.0760  5 Si 2.19-2.45
Ru 0.7500 0.9620 0.9240  5 Si 2.19-2.45

A geometry-optimized MgSiNi structure. Source: the Alexandria database, functional GGA-PBE.

Output
- E_form (uncorrected): -263 meV per atom
- Space-group type: Imm2 (44)

abc: 5.2392 5.2392 5.2392
angles: 144.99 148.40 47.88
Last column: nearest neighbours and their distance in Å.
Positions (direct):
Mg 0.9961 0.9961 0.0000  5 Ni 2.81-2.96, 5 Si 2.84-2.88, 2 Mg 2.85
Ni 0.3048 0.3048 0.0000  4 Si 2.35
Si 0.6991 0.6991 0.0000  4 Ni 2.35